(1)
Entry from Alexandria: crystalline LaTa2Os at its relaxed geometry (GGA-PBE).

Geometry as CIF:
```
data_LaTa2Os
_cell_length_a 4.731
_cell_length_b 4.731
_cell_length_c 4.731
_cell_angle_alpha 60.00
_cell_angle_beta 60.00
_cell_angle_gamma 60.00
_space_group_name_H-M_alt 'P 1'
_space_group_IT_number 1
_space_group_name_Hall 'P 1'
loop_
_atom_site_label
_atom_site_type_symbol
_atom_site_fract_x
_atom_site_fract_y
_atom_site_fract_z
_atom_site_occupancy
La1 La 0.000 0.000 0.000 1
Ta1 Ta 0.250 0.250 0.250 1
Ta2 Ta 0.750 0.750 0.750 1
Os1 Os 0.500 0.500 0.500 1
```

E_form in eV/atom: 0.283
E above lowest polymorph in meV per atom: 194
Calculated density in g cm⁻³: 15.3
Space-group type: Fm-3m (225)
Fermi-level density of states in states/eV per cell: 2.80
VASP energy in eV/atom: -9.682



(2)
Entry from Alexandria: crystalline TcSb3Au at its relaxed geometry (GGA-PBE).

Geometry as CIF:
```
data_TcSb3Au
_cell_length_a 5.133
_cell_length_b 5.133
_cell_length_c 5.133
_cell_angle_alpha 90.00
_cell_angle_beta 90.00
_cell_angle_gamma 90.00
_space_group_name_H-M_alt 'P 1'
_space_group_IT_number 1
_space_group_name_Hall 'P 1'
loop_
_atom_site_label
_atom_site_type_symbol
_atom_site_fract_x
_atom_site_fract_y
_atom_site_fract_z
_atom_site_occupancy
Tc1 Tc 0.000 0.000 0.000 1
Sb1 Sb 0.000 0.000 0.500 1
Sb2 Sb 0.000 0.500 0.000 1
Sb3 Sb 0.500 0.000 0.000 1
Au1 Au 0.500 0.500 0.500 1
```

E above lowest polymorph in meV per atom: 0
Calculated density in g cm⁻³: 8.1
Space-group type: Pm-3m (221)
Fermi-level density of states in states/eV per cell: 7.15
ΔE_f (raw) in eV per atom: 0.525
VASP energy in eV/atom: -4.677



(3)
Entry from Alexandria: crystalline La2PmNd3Er6 at its relaxed geometry (GGA-PBE).

Geometry as CIF:
```
data_La2PmNd3Er6
_cell_length_a 6.262
_cell_length_b 6.262
_cell_length_c 11.796
_cell_angle_alpha 95.07
_cell_angle_beta 95.07
_cell_angle_gamma 119.98
_space_group_name_H-M_alt 'P 1'
_space_group_IT_number 1
_space_group_name_Hall 'P 1'
loop_
_atom_site_label
_atom_site_type_symbol
_atom_site_fract_x
_atom_site_fract_y
_atom_site_fract_z
_atom_site_occupancy
La1 La 0.166 0.834 0.000 1
La2 La 0.834 0.166 0.000 1
Pm1 Pm 0.500 0.500 0.000 1
Nd1 Nd 0.000 0.000 0.500 1
Nd2 Nd 0.333 0.667 0.500 1
Nd3 Nd 0.667 0.333 0.500 1
Er1 Er 0.083 0.416 0.749 1
Er2 Er 0.252 0.252 0.251 1
Er3 Er 0.416 0.083 0.749 1
Er4 Er 0.584 0.917 0.251 1
Er5 Er 0.748 0.748 0.749 1
Er6 Er 0.917 0.584 0.251 1
```

E_form in eV/atom: 0.015
Calculated density in g cm⁻³: 7.8
Space-group type: C2/m (12)
Fermi-level density of states in states/eV per cell: 13.05
VASP energy in eV/atom: -4.676



(4)
Entry from Alexandria: crystalline CaY2Fe2 at its relaxed geometry (GGA-PBE).

Geometry as CIF:
```
data_CaY2Fe2
_cell_length_a 6.279
_cell_length_b 6.279
_cell_length_c 6.279
_cell_angle_alpha 135.32
_cell_angle_beta 135.32
_cell_angle_gamma 65.04
_space_group_name_H-M_alt 'P 1'
_space_group_IT_number 1
_space_group_name_Hall 'P 1'
loop_
_atom_site_label
_atom_site_type_symbol
_atom_site_fract_x
_atom_site_fract_y
_atom_site_fract_z
_atom_site_occupancy
Ca1 Ca 0.000 0.000 0.000 1
Y1 Y 0.343 0.343 0.000 1
Y2 Y 0.657 0.657 0.000 1
Fe1 Fe 0.250 0.750 0.500 1
Fe2 Fe 0.750 0.250 0.500 1
```

E_form in eV/atom: 0.625
E above lowest polymorph in meV per atom: 478
Calculated density in g cm⁻³: 4.5
Space-group type: I4/mmm (139)
Fermi-level density of states in states/eV per cell: 4.89
VASP energy in eV/atom: -5.746



| no. | volume (Å³ per atom) |
| --- | --- |
| 1 | 18.7 |
| 2 | 27.1 |
| 3 | 32.9 |
| 4 | 24.1 |